VASP calculation (PBE-GGA) on Tb2Sm3Bi3 after structural relaxation.

a b c (Å): 9.3170 9.3170 6.4843
angles (deg): 90.00 90.00 120.00
Space group P6_3/mcm (No. 193)
One atom of each set of equivalent atoms:
Tb 0.3333 0.6667 0.0000
Sm 0.0000 0.2454 0.2500
Bi 0.0000 0.3908 0.7500

Volume = 30.47 Å³ per atom
DFT formation energy = -572 kJ/mol of formula units

VASP calculation (PBE-GGA) on RbTl after structural relaxation.

a b c (Å): 7.4244 7.4244 7.5655
angles (deg): 90.00 90.00 90.00
Space group P4_2/mnm (No. 136)
One atom of each set of equivalent atoms:
Rb 0.1795 0.1795 0.0000
Tl 0.1517 0.1517 0.5000

Volume = 52.13 Å³ per atom
DFT formation energy = 22 kJ/mol of formula units